TcTeAs | PBEsol | optimized geometry

Output
Fermi-level density of states (states/eV per cell): 3.266
Total energy (eV/atom): -5.712
Offset from the most stable computed form (meV/atom): 894
Size of the total moment (μB/cell): 0.0

POSCAR file:
```
TcTeAs
1.0
0.000 3.164 3.164
3.164 0.000 3.164
3.164 3.164 0.000
Tc Te As
1 1 1
Direct
0.000 0.000 0.000
0.750 0.750 0.750
0.500 0.500 0.500
```